Record 1
Here is an optimized crystal structure of NaTcSn3 from Alexandria. Energies are from PBE.

```
data_NaTcSn3
_symmetry_space_group_name_H-M 'P m -3 m'
_symmetry_Int_Tables_number 221
_symmetry_space_group_name_Hall '-P 4 2 3'
_cell_length_a 5.240
_cell_length_b 5.240
_cell_length_c 5.240
_cell_angle_alpha 90.00
_cell_angle_beta 90.00
_cell_angle_gamma 90.00
loop_
_atom_site_label
_atom_site_type_symbol
_atom_site_fract_x
_atom_site_fract_y
_atom_site_fract_z
_atom_site_occupancy
Na1 Na 0.000 0.000 0.000 1
Tc1 Tc 0.500 0.500 0.500 1
Sn1 Sn 0.000 0.500 0.500 1
```



Record 2
Here is an optimized crystal structure of YPuSn from Alexandria. Energies are from PBE.

```
data_YPuSn
_symmetry_space_group_name_H-M 'P 63/m m c'
_symmetry_Int_Tables_number 194
_symmetry_space_group_name_Hall '-P 6c 2c'
_cell_length_a 5.4722
_cell_length_b 5.4722
_cell_length_c 6.2976
_cell_angle_alpha 90.00
_cell_angle_beta 90.00
_cell_angle_gamma 120.00
loop_
_atom_site_label
_atom_site_type_symbol
_atom_site_fract_x
_atom_site_fract_y
_atom_site_fract_z
_atom_site_occupancy
Y1 Y 0.3333 0.6667 0.2500 1
Pu1 Pu 0.0000 0.0000 0.0000 1
Sn1 Sn 0.3333 0.6667 0.7500 1
```



Record 3
Here is an optimized crystal structure of ZrHgBi3 from Alexandria. Energies are from PBE.

```
data_ZrHgBi3
_symmetry_space_group_name_H-M 'P m -3 m'
_symmetry_Int_Tables_number 221
_symmetry_space_group_name_Hall '-P 4 2 3'
_cell_length_a 5.602
_cell_length_b 5.602
_cell_length_c 5.602
_cell_angle_alpha 90.00
_cell_angle_beta 90.00
_cell_angle_gamma 90.00
loop_
_atom_site_label
_atom_site_type_symbol
_atom_site_fract_x
_atom_site_fract_y
_atom_site_fract_z
_atom_site_occupancy
Zr1 Zr 0.000 0.000 0.000 1
Hg1 Hg 0.500 0.500 0.500 1
Bi1 Bi 0.000 0.500 0.500 1
```



Record 4
# ZnRhBr2 | Alexandria | PBE | relaxed
data_ZnRhBr2
_symmetry_space_group_name_H-M 'P 1 m 1'
_symmetry_Int_Tables_number 6
_symmetry_space_group_name_Hall 'P -2y'
_cell_length_a 4.333
_cell_length_b 4.147
_cell_length_c 5.682
_cell_angle_alpha 90.00
_cell_angle_beta 90.17
_cell_angle_gamma 90.00
loop_
_atom_site_label
_atom_site_type_symbol
_atom_site_fract_x
_atom_site_fract_y
_atom_site_fract_z
_atom_site_occupancy
Zn1 Zn 0.000 0.000 0.000 1
Rh1 Rh 0.000 0.500 0.250 1
Br1 Br 0.499 0.500 0.037 1
Br2 Br 0.994 0.000 0.565 1
# uncorrected formation energy = -0.51 eV/f.u.



| no. | N(E_F) (states/eV/atom) | VASP energy (Ry/atom) | energy relative to the lowest polymorph listed for this composition (eV per atom) |
| --- | --- | --- | --- |
| 1 | 1.24 | -0.3376 | 0.000 |
| 2 | 2.36 | -0.6436 | 0.000 |
| 3 | 1.40 | -0.2324 | 0.717 |
| 4 | 0.86 | -0.2293 | 0.078 |